Record 1
# PaGaPd | the Alexandria database | PBE | relaxed
data_PaGaPd
_cell_length_a 6.475
_cell_length_b 6.475
_cell_length_c 6.475
_cell_angle_alpha 90.00
_cell_angle_beta 90.00
_cell_angle_gamma 90.00
_space_group_name_H-M_alt 'F -4 3 m'
_space_group_IT_number 216
_space_group_name_Hall 'F -4 2 3'
loop_
_atom_site_label
_atom_site_type_symbol
_atom_site_fract_x
_atom_site_fract_y
_atom_site_fract_z
Pa1 Pa 0.000 0.000 0.000
Ga1 Ga 0.000 0.000 0.500
Pd1 Pd 0.250 0.250 0.750
# Uncorrected energy   -6.33 eV per atom
# Total magnetic moment   0.00 μB/f.u.



Record 2
# Pa2GaPd9 | the Alexandria database | PBE | relaxed
data_Pa2GaPd9
_cell_length_a 4.118
_cell_length_b 4.118
_cell_length_c 12.032
_cell_angle_alpha 90.00
_cell_angle_beta 90.00
_cell_angle_gamma 90.00
_space_group_name_H-M_alt 'P 4/m m m'
_space_group_IT_number 123
_space_group_name_Hall '-P 4 2'
loop_
_atom_site_label
_atom_site_type_symbol
_atom_site_fract_x
_atom_site_fract_y
_atom_site_fract_z
Pa1 Pa 0.000 0.000 0.177
Ga1 Ga 0.000 0.000 0.500
Pd1 Pd 0.000 0.500 0.000
Pd2 Pd 0.000 0.500 0.340
Pd3 Pd 0.500 0.500 0.170
Pd4 Pd 0.500 0.500 0.500
# Uncorrected energy   -6.42 eV per atom
# Total magnetic moment   0.80 μB/f.u.



Record 3
# Pa2Ga4Pd3 | the Alexandria database | PBE | relaxed
data_Pa2Ga4Pd3
_cell_length_a 5.763
_cell_length_b 14.647
_cell_length_c 7.778
_cell_angle_alpha 90.00
_cell_angle_beta 90.00
_cell_angle_gamma 90.00
_space_group_name_H-M_alt 'C m c e'
_space_group_IT_number 64
_space_group_name_Hall '-C 2ac 2'
loop_
_atom_site_label
_atom_site_type_symbol
_atom_site_fract_x
_atom_site_fract_y
_atom_site_fract_z
Pa1 Pa 0.000 0.089 0.091
Ga1 Ga 0.000 0.180 0.492
Ga2 Ga 0.250 0.072 0.750
Pd1 Pd 0.000 0.000 0.500
Pd2 Pd 0.250 0.248 0.750
# Uncorrected energy   -5.74 eV per atom
# Total magnetic moment   0.00 μB/f.u.



Record 4
# Pa4Ga5Pd2 | the Alexandria database | PBE | relaxed
data_Pa4Ga5Pd2
_cell_length_a 7.201
_cell_length_b 3.099
_cell_length_c 9.802
_cell_angle_alpha 90.00
_cell_angle_beta 93.07
_cell_angle_gamma 90.00
_space_group_name_H-M_alt 'P 1 2/m 1'
_space_group_IT_number 10
loop_
_space_group_symop_operation_xyz
'x,y,z'
'-x,-y,-z'
'-x,y,-z'
'x,-y,z'
loop_
_atom_site_label
_atom_site_type_symbol
_atom_site_fract_x
_atom_site_fract_y
_atom_site_fract_z
Pa1 Pa 0.144 0.000 0.399
Pa2 Pa 0.296 0.000 0.954
Ga1 Ga 0.222 0.500 0.676
Ga2 Ga 0.421 0.500 0.219
Ga3 Ga 0.500 0.500 0.500
Pd1 Pd 0.049 0.500 0.141
# Uncorrected energy   -6.19 eV per atom
# Total magnetic moment   0.00 μB/f.u.



Record 5
# PaGa4Pd2 | the Alexandria database | PBE | relaxed
data_PaGa4Pd2
_cell_length_a 7.455
_cell_length_b 7.455
_cell_length_c 4.568
_cell_angle_alpha 90.00
_cell_angle_beta 90.00
_cell_angle_gamma 90.00
_space_group_name_H-M_alt 'P 42/m n m'
_space_group_IT_number 136
_space_group_name_Hall '-P 4n 2n'
loop_
_atom_site_label
_atom_site_type_symbol
_atom_site_fract_x
_atom_site_fract_y
_atom_site_fract_z
Pa1 Pa 0.000 0.000 0.000
Ga1 Ga 0.094 0.340 0.500
Pd1 Pd 0.221 0.779 0.500
# Uncorrected energy   -4.97 eV per atom
# Excess energy over the best structure of this formula in the dataset   156.0 meV per atom
# Total magnetic moment   0.93 μB/f.u.



Record 6
# PaGaPd2 | the Alexandria database | PBE | relaxed
data_PaGaPd2
_cell_length_a 3.180
_cell_length_b 3.180
_cell_length_c 7.057
_cell_angle_alpha 90.00
_cell_angle_beta 90.00
_cell_angle_gamma 90.00
_space_group_name_H-M_alt 'P 4/m m m'
_space_group_IT_number 123
_space_group_name_Hall '-P 4 2'
loop_
_atom_site_label
_atom_site_type_symbol
_atom_site_fract_x
_atom_site_fract_y
_atom_site_fract_z
Pa1 Pa 0.000 0.000 0.000
Ga1 Ga 0.000 0.000 0.500
Pd1 Pd 0.500 0.500 0.291
# Uncorrected energy   -6.27 eV per atom
# Total magnetic moment   0.00 μB/f.u.



Record 7
# PaGa2Pd6 | the Alexandria database | PBE | relaxed
data_PaGa2Pd6
_cell_length_a 7.931
_cell_length_b 8.560
_cell_length_c 9.031
_cell_angle_alpha 90.00
_cell_angle_beta 90.00
_cell_angle_gamma 90.00
_space_group_name_H-M_alt 'I m m m'
_space_group_IT_number 71
_space_group_name_Hall '-I 2 2'
loop_
_atom_site_label
_atom_site_type_symbol
_atom_site_fract_x
_atom_site_fract_y
_atom_site_fract_z
Pa1 Pa 0.000 0.000 0.000
Pa2 Pa 0.000 0.000 0.500
Ga1 Ga 0.000 0.354 0.000
Ga2 Ga 0.000 0.500 0.365
Pd1 Pd 0.000 0.217 0.249
Pd2 Pd 0.214 0.302 0.500
Pd3 Pd 0.229 0.500 0.174
# Uncorrected energy   -5.68 eV per atom
# Total magnetic moment   0.00 μB/f.u.



Record 8
# Pa4Ga12Pd | the Alexandria database | PBE | relaxed
data_Pa4Ga12Pd
_cell_length_a 8.664
_cell_length_b 8.664
_cell_length_c 8.664
_cell_angle_alpha 90.00
_cell_angle_beta 90.00
_cell_angle_gamma 90.00
_space_group_name_H-M_alt 'I m -3 m'
_space_group_IT_number 229
_space_group_name_Hall '-I 4 2 3'
loop_
_atom_site_label
_atom_site_type_symbol
_atom_site_fract_x
_atom_site_fract_y
_atom_site_fract_z
Pa1 Pa 0.250 0.250 0.250
Ga1 Ga 0.000 0.000 0.298
Ga2 Ga 0.000 0.250 0.500
Pd1 Pd 0.000 0.000 0.000
# Uncorrected energy   -5.11 eV per atom
# Total magnetic moment   0.00 μB/f.u.



Record 9
# PaGa2Pd8 | the Alexandria database | PBE | relaxed
data_PaGa2Pd8
_cell_length_a 14.166
_cell_length_b 4.192
_cell_length_c 6.613
_cell_angle_alpha 90.00
_cell_angle_beta 114.32
_cell_angle_gamma 90.00
_space_group_name_H-M_alt 'C 1 2/m 1'
_space_group_IT_number 12
loop_
_space_group_symop_operation_xyz
'x,y,z'
'-x,-y,-z'
'-x,y,-z'
'x,-y,z'
'x+1/2,y+1/2,z'
'-x+1/2,-y+1/2,-z'
'-x+1/2,y+1/2,-z'
'x+1/2,-y+1/2,z'
loop_
_atom_site_label
_atom_site_type_symbol
_atom_site_fract_x
_atom_site_fract_y
_atom_site_fract_z
Pa1 Pa 0.000 0.000 0.000
Ga1 Ga 0.205 0.500 0.664
Pd1 Pd 0.036 0.500 0.735
Pd2 Pd 0.107 0.000 0.463
Pd3 Pd 0.160 0.500 0.233
Pd4 Pd 0.178 0.000 0.930
# Uncorrected energy   -5.81 eV per atom
# Total magnetic moment   0.00 μB/f.u.



Record 10
# PaGa3Pd3 | the Alexandria database | PBE | relaxed
data_PaGa3Pd3
_cell_length_a 6.8457
_cell_length_b 6.8457
_cell_length_c 18.7422
_cell_angle_alpha 90.00
_cell_angle_beta 90.00
_cell_angle_gamma 120.00
_space_group_name_H-M_alt 'R -3'
_space_group_IT_number 148
_space_group_name_Hall '-R 3'
loop_
_atom_site_label
_atom_site_type_symbol
_atom_site_fract_x
_atom_site_fract_y
_atom_site_fract_z
Pa1 Pa 0.0000 0.0000 0.1601
Ga1 Ga 0.0545 0.6095 0.3725
Pd1 Pd 0.0308 0.7766 0.5650
# Uncorrected energy   -5.35 eV per atom
# Excess energy over the best structure of this formula in the dataset   0.0 meV per atom
# Total magnetic moment   0.00 μB/f.u.



Record 11
# PaGa6Pd4 | the Alexandria database | PBE | relaxed
data_PaGa6Pd4
_cell_length_a 7.3878
_cell_length_b 7.3878
_cell_length_c 4.0033
_cell_angle_alpha 90.00
_cell_angle_beta 90.00
_cell_angle_gamma 120.00
_space_group_name_H-M_alt 'P -6 m 2'
_space_group_IT_number 187
_space_group_name_Hall 'P -6 2'
loop_
_atom_site_label
_atom_site_type_symbol
_atom_site_fract_x
_atom_site_fract_y
_atom_site_fract_z
Pa1 Pa 0.0000 0.0000 0.0000
Ga1 Ga 0.1970 0.3939 0.5000
Ga2 Ga 0.5338 0.0677 0.0000
Pd1 Pd 0.3333 0.6667 0.0000
Pd2 Pd 0.3991 0.1996 0.5000
# Uncorrected energy   -4.92 eV per atom
# Total magnetic moment   0.79 μB/f.u.



Record 12
# PaGaPd2 | the Alexandria database | PBE | relaxed
data_PaGaPd2
_cell_length_a 4.687
_cell_length_b 4.687
_cell_length_c 3.453
_cell_angle_alpha 90.00
_cell_angle_beta 90.00
_cell_angle_gamma 90.00
_space_group_name_H-M_alt 'P 4/m m m'
_space_group_IT_number 123
_space_group_name_Hall '-P 4 2'
loop_
_atom_site_label
_atom_site_type_symbol
_atom_site_fract_x
_atom_site_fract_y
_atom_site_fract_z
Pa1 Pa 0.000 0.000 0.000
Ga1 Ga 0.500 0.500 0.000
Pd1 Pd 0.000 0.500 0.500
# Uncorrected energy   -6.11 eV per atom
# Total magnetic moment   0.01 μB/f.u.



Which formula does entry 7 have?
PaGa2Pd6



uncorrected energy of number 1 (PaGaPd)?
-6.33 eV per atom



Which of these has the highest uncorrected energy?
PaGa6Pd4